1.
# BaTeIr4 PBE-GGA optimized geometry
data_BaTeIr4
_cell_length_a 5.502
_cell_length_b 5.502
_cell_length_c 5.502
_cell_angle_alpha 60.00
_cell_angle_beta 60.00
_cell_angle_gamma 60.00
_space_group_name_H-M_alt 'P 1'
_space_group_IT_number 1
_space_group_name_Hall 'P 1'
loop_
_atom_site_label
_atom_site_type_symbol
_atom_site_fract_x
_atom_site_fract_y
_atom_site_fract_z
Ir1 Ir 0.873 0.376 0.376
Ir2 Ir 0.376 0.873 0.376
Ir3 Ir 0.376 0.376 0.873
Ir4 Ir 0.376 0.376 0.376
Te1 Te 0.750 0.750 0.750
Ba1 Ba 0.000 0.000 0.000
# formation energy without anion corrections	0.352	eV/atom
# total magnetization	0.00	μB/cell

=====

2.
# PrDyTm5 PBE-GGA optimized geometry
data_PrDyTm5
_cell_length_a 6.107
_cell_length_b 7.958
_cell_length_c 7.607
_cell_angle_alpha 121.54
_cell_angle_beta 113.67
_cell_angle_gamma 90.00
_space_group_name_H-M_alt 'P 1'
_space_group_IT_number 1
_space_group_name_Hall 'P 1'
loop_
_atom_site_label
_atom_site_type_symbol
_atom_site_fract_x
_atom_site_fract_y
_atom_site_fract_z
Tm1 Tm 0.355 0.181 0.000
Tm2 Tm 0.426 0.250 0.500
Tm3 Tm 0.049 0.500 0.000
Tm4 Tm 0.926 0.750 0.500
Tm5 Tm 0.355 0.819 0.000
Dy1 Dy 0.845 0.000 0.000
Pr1 Pr 0.575 0.500 0.000
# E_form	1003	meV/atom
# total magnetization	0.00	μB/cell

=====

3.
# NbPt6Rh5 PBE-GGA optimized geometry
data_NbPt6Rh5
_cell_length_a 3.918
_cell_length_b 7.342
_cell_length_c 7.342
_cell_angle_alpha 105.97
_cell_angle_beta 105.48
_cell_angle_gamma 105.48
_space_group_name_H-M_alt 'P 1'
_space_group_IT_number 1
_space_group_name_Hall 'P 1'
loop_
_atom_site_label
_atom_site_type_symbol
_atom_site_fract_x
_atom_site_fract_y
_atom_site_fract_z
Pt1 Pt 0.249 0.081 0.416
Pt2 Pt 0.747 0.247 0.247
Pt3 Pt 0.249 0.416 0.081
Pt4 Pt 0.751 0.919 0.584
Pt5 Pt 0.751 0.584 0.919
Pt6 Pt 0.253 0.753 0.753
Rh1 Rh 0.000 0.661 0.339
Rh2 Rh 0.500 0.500 0.500
Rh3 Rh 0.500 0.837 0.163
Rh4 Rh 0.500 0.163 0.837
Rh5 Rh 0.000 0.339 0.661
Nb1 Nb 0.000 0.000 0.000
# E_form	-233	meV/atom
# total magnetization	0.00	μB/cell

=====

4.
# PmScSb3 PBE-GGA optimized geometry
data_PmScSb3
_cell_length_a 6.505
_cell_length_b 6.183
_cell_length_c 13.540
_cell_angle_alpha 90.00
_cell_angle_beta 90.00
_cell_angle_gamma 90.00
_space_group_name_H-M_alt 'P 1'
_space_group_IT_number 1
_space_group_name_Hall 'P 1'
loop_
_atom_site_label
_atom_site_type_symbol
_atom_site_fract_x
_atom_site_fract_y
_atom_site_fract_z
Sc1 Sc 0.000 0.750 0.905
Sc2 Sc 0.000 0.250 0.095
Sc3 Sc 0.500 0.250 0.095
Sc4 Sc 0.500 0.750 0.905
Pm1 Pm 0.750 0.492 0.679
Pm2 Pm 0.750 0.992 0.321
Pm3 Pm 0.250 0.508 0.321
Pm4 Pm 0.250 0.008 0.679
Sb1 Sb 0.500 0.250 0.498
Sb2 Sb 0.250 0.998 0.240
Sb3 Sb 0.000 0.250 0.498
Sb4 Sb 0.750 0.002 0.760
Sb5 Sb 0.750 0.359 0.923
Sb6 Sb 0.750 0.502 0.240
Sb7 Sb 0.750 0.859 0.077
Sb8 Sb 0.250 0.641 0.077
Sb9 Sb 0.250 0.498 0.760
Sb10 Sb 0.500 0.750 0.502
Sb11 Sb 0.000 0.750 0.502
Sb12 Sb 0.250 0.141 0.923
# formation energy without anion corrections	-0.798	eV/atom
# total magnetization	0.00	μB/cell